This record from the Alexandria database describes a geometry-optimized BaSc2RhAu structure. The functional is PBE.

Calculated values
Calculated formation energy (eV/atom): -0.338
Size of the total moment (μB/cell): 0.00
Energy (eV per cell): -26.90
Crystal system: tetragonal

a = 4.940 Å, b = 4.940 Å, c = 5.529 Å
α = 90.00°, β = 90.00°, γ = 90.00°
Space group P4/mmm (No. 123)
Inequivalent atoms, fractional coordinates:
Ba 0.000 0.000 0.000 (multiplicity 1)
Sc 0.000 0.500 0.500 (multiplicity 2)
Rh 0.500 0.500 0.500 (multiplicity 1)
Au 0.500 0.500 0.000 (multiplicity 1)


This record from the Alexandria database describes a geometry-optimized SrInBi3 structure. The functional is PBE.

Calculated values
Calculated formation energy (eV/atom): -0.240
Size of the total moment (μB/cell): 0.00
Energy relative to the lowest polymorph listed for this composition (eV per atom): 0.000
Energy (eV per cell): -34.52
Crystal system: monoclinic

a = 5.822 Å, b = 6.971 Å, c = 8.959 Å
α = 90.00°, β = 108.96°, γ = 90.00°
Space group P2_1/m (No. 11)
Inequivalent atoms, fractional coordinates:
Sr 0.184 0.250 0.368 (multiplicity 2)
In 0.385 0.250 0.773 (multiplicity 2)
Bi 0.000 0.000 0.000 (multiplicity 2)
Bi 0.179 0.750 0.355 (multiplicity 2)
Bi 0.439 0.750 0.878 (multiplicity 2)


- calculated formation energy of number 2 (SrInBi3)?
  -0.240 eV/atom


- Which value of calculated formation energy does entry 2 give?
  -0.240 eV/atom